Entry 1:
DFT (GGA-PBE) results for LiHfGaNi2 after structural relaxation.

Cell: 4.0977 4.0977 4.1444 Å, 90.00 90.00 90.00°
Last column: nearest neighbours and their distance in Å.
Atoms (fractional coordinates):
Li (0.0000, 0.0000, 0.0000)  4 Ni 2.05, 2 Ga 2.07
Hf (0.5000, 0.5000, 0.5000)  4 Ga 2.90, 8 Ni 2.91
Ga (0.0000, 0.0000, 0.5000)  2 Li 2.07
Ni (0.0000, 0.5000, 0.0000)  2 Li 2.05
Ni (0.5000, 0.0000, 0.0000)  2 Li 2.05

Computed properties:
Density of states at the Fermi level   0.84 states/eV/atom
Energy of formation   0.773 eV per formula unit
SG   P4/mmm, No. 123
Electronic total energy   -0.189 Ha/atom


Entry 2:
DFT (GGA-PBE) results for LiHf2GaO after structural relaxation.

Cell: 4.3735 4.3735 3.9246 Å, 90.00 90.00 90.00°
Last column: nearest neighbours and their distance in Å.
Atoms (fractional coordinates):
Li (0.0000, 0.0000, 0.0000)  2 O 1.96
Hf (0.0000, 0.5000, 0.5000)  2 O 2.19
Hf (0.5000, 0.0000, 0.5000)  2 O 2.19
Ga (0.5000, 0.5000, 0.0000)  8 Hf 2.94, 4 Li 3.09
O (0.0000, 0.0000, 0.5000)  2 Li 1.96, 4 Hf 2.19

Computed properties:
Density of states at the Fermi level   0.53 states/eV/atom
Formation energy (no corrections)   -1.206 eV/atom
SG   P4/mmm, No. 123
Electronic total energy   -0.263 Ha/atom


Entry 3:
DFT (GGA-PBE) results for LiHfGaO4 after structural relaxation.

Cell: 6.1609 6.1609 6.1609 Å, 122.30 118.13 89.67°
Last column: nearest neighbours and their distance in Å.
Atoms (fractional coordinates):
Li (0.3766, 0.1266, 0.2500)  4 O 1.99-2.15
Li (0.6234, 0.8734, 0.7500)  4 O 1.99-2.15
Hf (0.0000, 0.5000, 0.5000)  6 O 2.09-2.11
Hf (0.5000, 0.5000, 0.0000)  6 O 2.09-2.11
Ga (0.0000, 0.0000, 0.5000)  6 O 2.02-2.12
Ga (0.0000, 0.5000, 0.0000)  6 O 2.02-2.12
O (0.2046, 0.7399, 0.4647)  2 Ga 2.02, 1 Hf 2.11, 1 Li 2.15
O (0.2249, 0.2601, 0.9647)  2 Ga 2.02, 1 Hf 2.11, 1 Li 2.15
O (0.2426, 0.2631, 0.5204)  1 Li 1.99, 2 Hf 2.09, 1 Ga 2.12
O (0.2426, 0.7222, 0.9796)  1 Li 1.99, 2 Hf 2.09, 1 Ga 2.12
O (0.7574, 0.2778, 0.0204)  1 Li 1.99, 2 Hf 2.09, 1 Ga 2.12
O (0.7574, 0.7369, 0.4796)  1 Li 1.99, 2 Hf 2.09, 1 Ga 2.12
O (0.7751, 0.7399, 0.0353)  2 Ga 2.02, 1 Hf 2.11, 1 Li 2.15
O (0.7954, 0.2601, 0.5353)  2 Ga 2.02, 1 Hf 2.11, 1 Li 2.15

Computed properties:
Density of states at the Fermi level   0.00 states/eV/atom
Formation energy (no corrections)   -2.562 eV/atom
SG   Imma, No. 74
Electronic total energy   -0.276 Ha/atom


Entry 4:
DFT (GGA-PBE) results for LiHfGaOs after structural relaxation.

Cell: 4.4572 4.4572 4.4572 Å, 60.00 60.00 60.00°
Last column: nearest neighbours and their distance in Å.
Atoms (fractional coordinates):
Li (0.0000, 0.0000, 0.0000)  4 Hf 2.73, 4 Ga 2.73
Hf (0.7500, 0.7500, 0.7500)  4 Os 2.73, 4 Li 2.73
Ga (0.2500, 0.2500, 0.2500)  4 Os 2.73, 4 Li 2.73
Os (0.5000, 0.5000, 0.5000)  4 Ga 2.73, 4 Hf 2.73

Computed properties:
Density of states at the Fermi level   0.91 states/eV/atom
Energy of formation   -1.279 eV per formula unit
SG   F-43m, No. 216
Electronic total energy   -0.252 Ha/atom


Entry 5:
DFT (GGA-PBE) results for LiHfGaPt after structural relaxation.

Cell: 4.4618 4.4618 4.4618 Å, 60.00 60.00 60.00°
Last column: nearest neighbours and their distance in Å.
Atoms (fractional coordinates):
Li (0.0000, 0.0000, 0.0000)  4 Hf 2.73, 4 Ga 2.73
Hf (0.7500, 0.7500, 0.7500)  4 Li 2.73, 4 Pt 2.73
Ga (0.2500, 0.2500, 0.2500)  4 Li 2.73, 4 Pt 2.73
Pt (0.5000, 0.5000, 0.5000)  4 Hf 2.73, 4 Ga 2.73

Computed properties:
Energy of formation   -3.311 eV per formula unit
SG   F-43m, No. 216
Electronic total energy   -0.223 Ha/atom


Entry 6:
DFT (GGA-PBE) results for Li2HfGa2Pt2 after structural relaxation.

Cell: 4.9152 4.9152 5.7596 Å, 92.38 92.38 49.91°
Last column: nearest neighbours and their distance in Å.
Atoms (fractional coordinates):
Li (0.0938, 0.0938, 0.2012)  3 Ga 2.57-2.59, 4 Pt 2.76-2.86, 1 Li 2.79, 2 Hf 2.84
Li (0.9062, 0.9062, 0.7988)  3 Ga 2.57-2.59, 4 Pt 2.76-2.86, 1 Li 2.79, 2 Hf 2.84
Hf (0.5000, 0.5000, 0.5000)  2 Ga 2.79, 4 Li 2.84, 6 Pt 2.86-2.89
Ga (0.3617, 0.3617, 0.0555)  3 Li 2.57-2.59, 1 Ga 2.57, 3 Pt 2.62-2.70, 1 Hf 2.79
Ga (0.6383, 0.6383, 0.9445)  3 Li 2.57-2.59, 1 Ga 2.57, 3 Pt 2.62-2.70, 1 Hf 2.79
Pt (0.1991, 0.1991, 0.6647)  3 Ga 2.62-2.70, 4 Li 2.76-2.86, 3 Hf 2.86-2.89
Pt (0.8009, 0.8009, 0.3353)  3 Ga 2.62-2.70, 4 Li 2.76-2.86, 3 Hf 2.86-2.89

Computed properties:
Density of states at the Fermi level   0.30 states/eV/atom
Energy of formation   -4.725 eV per formula unit
SG   C2/m, No. 12
Electronic total energy   -0.192 Ha/atom


Entry 7:
DFT (GGA-PBE) results for LiHfGaRu after structural relaxation.

Cell: 4.4415 4.4415 4.4415 Å, 60.00 60.00 60.00°
Last column: nearest neighbours and their distance in Å.
Atoms (fractional coordinates):
Li (0.0000, 0.0000, 0.0000)  4 Hf 2.72, 4 Ga 2.72
Hf (0.7500, 0.7500, 0.7500)  4 Ru 2.72, 4 Li 2.72
Ga (0.2500, 0.2500, 0.2500)  4 Li 2.72, 4 Ru 2.72
Ru (0.5000, 0.5000, 0.5000)  4 Hf 2.72, 4 Ga 2.72

Computed properties:
Density of states at the Fermi level   0.99 states/eV/atom
Energy of formation   -1.575 eV per formula unit
SG   F-43m, No. 216
Electronic total energy   -0.237 Ha/atom


Entry 8:
DFT (GGA-PBE) results for LiHfScGa after structural relaxation.

Cell: 4.7092 4.7092 4.7092 Å, 60.00 60.00 60.00°
Last column: nearest neighbours and their distance in Å.
Atoms (fractional coordinates):
Li (0.0000, 0.0000, 0.0000)  4 Sc 2.88, 4 Hf 2.88
Hf (0.2500, 0.2500, 0.2500)  4 Li 2.88, 4 Ga 2.88
Sc (0.7500, 0.7500, 0.7500)  4 Ga 2.88, 4 Li 2.88
Ga (0.5000, 0.5000, 0.5000)  4 Sc 2.88, 4 Hf 2.88

Computed properties:
Density of states at the Fermi level   0.59 states/eV/atom
Energy of formation   -0.832 eV per formula unit
SG   F-43m, No. 216
Electronic total energy   -0.203 Ha/atom


Entry 9:
DFT (GGA-PBE) results for SrLiHf2Ga after structural relaxation.

Cell: 5.1001 5.1001 5.9605 Å, 90.00 90.00 90.00°
Last column: nearest neighbours and their distance in Å.
Atoms (fractional coordinates):
Sr (0.0000, 0.0000, 0.0000)  2 Ga 2.98
Li (0.5000, 0.5000, 0.0000)  4 Sr 3.61, 8 Hf 3.92
Hf (0.0000, 0.5000, 0.5000)  2 Ga 2.55
Hf (0.5000, 0.0000, 0.5000)  2 Ga 2.55
Ga (0.0000, 0.0000, 0.5000)  4 Hf 2.55

Computed properties:
Density of states at the Fermi level   1.53 states/eV/atom
Energy of formation   3.214 eV per formula unit
SG   P4/mmm, No. 123
Electronic total energy   -0.171 Ha/atom


Entry 10:
DFT (GGA-PBE) results for LiHfTiGa after structural relaxation.

Cell: 4.5644 4.5644 4.5644 Å, 60.00 60.00 60.00°
Last column: nearest neighbours and their distance in Å.
Atoms (fractional coordinates):
Li (0.0000, 0.0000, 0.0000)  4 Ti 2.80, 4 Hf 2.80
Hf (0.2500, 0.2500, 0.2500)  4 Li 2.80, 4 Ga 2.80
Ti (0.7500, 0.7500, 0.7500)  4 Li 2.80, 4 Ga 2.80
Ga (0.5000, 0.5000, 0.5000)  4 Hf 2.80, 4 Ti 2.80

Computed properties:
Density of states at the Fermi level   0.63 states/eV/atom
Energy of formation   -0.496 eV per formula unit
SG   F-43m, No. 216
Electronic total energy   -0.214 Ha/atom


Entry 11:
DFT (GGA-PBE) results for LiYHfGa after structural relaxation.

Cell: 4.8747 4.8747 4.8747 Å, 60.00 60.00 60.00°
Last column: nearest neighbours and their distance in Å.
Atoms (fractional coordinates):
Li (0.0000, 0.0000, 0.0000)  4 Hf 2.99, 4 Y 2.99
Y (0.2500, 0.2500, 0.2500)  4 Li 2.99, 4 Ga 2.99
Hf (0.7500, 0.7500, 0.7500)  4 Li 2.99, 4 Ga 2.99
Ga (0.5000, 0.5000, 0.5000)  4 Hf 2.99, 4 Y 2.99

Computed properties:
Density of states at the Fermi level   0.66 states/eV/atom
Energy of formation   -0.665 eV per formula unit
SG   F-43m, No. 216
Electronic total energy   -0.202 Ha/atom


Entry 12:
DFT (GGA-PBE) results for LiHfZnGa after structural relaxation.

Cell: 4.5663 4.5663 4.5663 Å, 60.00 60.00 60.00°
Last column: nearest neighbours and their distance in Å.
Atoms (fractional coordinates):
Li (0.0000, 0.0000, 0.0000)  4 Zn 2.80, 4 Ga 2.80
Hf (0.5000, 0.5000, 0.5000)  4 Zn 2.80, 4 Ga 2.80
Zn (0.7500, 0.7500, 0.7500)  4 Li 2.80, 4 Hf 2.80
Ga (0.2500, 0.2500, 0.2500)  4 Hf 2.80, 4 Li 2.80

Computed properties:
Density of states at the Fermi level   0.21 states/eV/atom
Energy of formation   -0.930 eV per formula unit
SG   F-43m, No. 216
Electronic total energy   -0.157 Ha/atom


Entry 13:
DFT (GGA-PBE) results for LiHfZrGa after structural relaxation.

Cell: 4.7000 4.7000 4.7000 Å, 60.00 60.00 60.00°
Last column: nearest neighbours and their distance in Å.
Atoms (fractional coordinates):
Li (0.0000, 0.0000, 0.0000)  4 Hf 2.88, 4 Zr 2.88
Hf (0.7500, 0.7500, 0.7500)  4 Ga 2.88, 4 Li 2.88
Zr (0.2500, 0.2500, 0.2500)  4 Ga 2.88, 4 Li 2.88
Ga (0.5000, 0.5000, 0.5000)  4 Zr 2.88, 4 Hf 2.88

Computed properties:
Density of states at the Fermi level   0.52 states/eV/atom
Energy of formation   -0.729 eV per formula unit
SG   F-43m, No. 216
Electronic total energy   -0.222 Ha/atom


Entry 14:
DFT (GGA-PBE) results for Lu2HfGa after structural relaxation.

Cell: 3.3635 3.3635 8.3317 Å, 90.00 90.00 90.00°
Last column: nearest neighbours and their distance in Å.
Atoms (fractional coordinates):
Lu (0.0000, 0.0000, 0.2292)  4 Ga 3.05, 4 Hf 3.28, 4 Lu 3.36
Lu (0.0000, 0.0000, 0.7708)  4 Ga 3.05, 4 Hf 3.28, 4 Lu 3.36
Hf (0.5000, 0.5000, 0.5000)  8 Lu 3.28, 4 Hf 3.36
Ga (0.5000, 0.5000, 0.0000)  8 Lu 3.05, 4 Ga 3.36

Computed properties:
Energy above the most stable polymorph in this dataset   0 meV/atom
Density of states at the Fermi level   0.70 states/eV/atom
Energy of formation   -0.987 eV per formula unit
SG   P4/mmm, No. 123
Electronic total energy   -0.211 Ha/atom


Entry 15:
DFT (GGA-PBE) results for LuHfGa4 after structural relaxation.

Cell: 5.3362 5.3362 5.3362 Å, 60.00 60.00 60.00°
Last column: nearest neighbours and their distance in Å.
Atoms (fractional coordinates):
Lu (0.0000, 0.0000, 0.0000)  12 Ga 3.13, 4 Hf 3.27
Hf (0.7500, 0.7500, 0.7500)  12 Ga 3.13, 4 Lu 3.27
Ga (0.3752, 0.3752, 0.3752)  6 Ga 2.66-2.67
Ga (0.3752, 0.3752, 0.8744)  6 Ga 2.66-2.67
Ga (0.3752, 0.8744, 0.3752)  6 Ga 2.66-2.67
Ga (0.8744, 0.3752, 0.3752)  6 Ga 2.66-2.67

Computed properties:
Density of states at the Fermi level   0.48 states/eV/atom
Energy of formation   -2.425 eV per formula unit
SG   F-43m, No. 216
Electronic total energy   -0.178 Ha/atom


Entry 16:
DFT (GGA-PBE) results for Lu2HfGa after structural relaxation.

Cell: 4.4866 4.4866 4.5055 Å, 90.00 90.00 90.00°
Last column: nearest neighbours and their distance in Å.
Atoms (fractional coordinates):
Lu (0.0000, 0.5000, 0.0000)  4 Lu 3.17, 4 Hf 3.18, 4 Ga 3.18
Lu (0.5000, 0.0000, 0.0000)  4 Lu 3.17, 4 Hf 3.18, 4 Ga 3.18
Hf (0.0000, 0.0000, 0.5000)  4 Ga 3.17, 8 Lu 3.18
Ga (0.5000, 0.5000, 0.5000)  4 Hf 3.17, 8 Lu 3.18

Computed properties:
Energy above the most stable polymorph in this dataset   80 meV/atom
Density of states at the Fermi level   0.76 states/eV/atom
Energy of formation   -0.668 eV per formula unit
SG   P4/mmm, No. 123
Electronic total energy   -0.208 Ha/atom


Entry 17:
DFT (GGA-PBE) results for Lu2HfGa after structural relaxation.

Cell: 10.0988 10.0988 10.0988 Å, 19.15 19.15 19.15°
Last column: nearest neighbours and their distance in Å.
Atoms (fractional coordinates):
Lu (0.2449, 0.2449, 0.2449)  3 Ga 3.03, 3 Hf 3.27, 6 Lu 3.36
Lu (0.7551, 0.7551, 0.7551)  3 Ga 3.03, 3 Hf 3.27, 6 Lu 3.36
Hf (0.0000, 0.0000, 0.0000)  6 Lu 3.27, 6 Hf 3.36
Ga (0.5000, 0.5000, 0.5000)  6 Lu 3.03, 6 Ga 3.36

Computed properties:
Energy above the most stable polymorph in this dataset   114 meV/atom
Density of states at the Fermi level   1.06 states/eV/atom
Energy of formation   -0.532 eV per formula unit
SG   R-3m, No. 166
Electronic total energy   -0.207 Ha/atom


Entry 18:
DFT (GGA-PBE) results for LuHfGa2 after structural relaxation.

Cell: 3.5163 3.5163 6.4725 Å, 90.00 90.00 90.00°
Last column: nearest neighbours and their distance in Å.
Atoms (fractional coordinates):
Lu (0.0000, 0.0000, 0.0000)  8 Ga 3.03, 2 Hf 3.24
Hf (0.0000, 0.0000, 0.5000)  8 Ga 2.90, 2 Lu 3.24
Ga (0.5000, 0.5000, 0.2688)  4 Hf 2.90, 1 Ga 2.99, 4 Lu 3.03
Ga (0.5000, 0.5000, 0.7312)  4 Hf 2.90, 1 Ga 2.99, 4 Lu 3.03

Computed properties:
Energy above the most stable polymorph in this dataset   0 meV/atom
Density of states at the Fermi level   0.73 states/eV/atom
Energy of formation   -1.611 eV per formula unit
SG   P4/mmm, No. 123
Electronic total energy   -0.203 Ha/atom


Entry 19:
DFT (GGA-PBE) results for LuHfGa2 after structural relaxation.

Cell: 8.7128 8.7128 8.7128 Å, 22.58 22.58 22.58°
Last column: nearest neighbours and their distance in Å.
Atoms (fractional coordinates):
Lu (0.0000, 0.0000, 0.0000)  6 Ga 2.95
Hf (0.5000, 0.5000, 0.5000)  6 Ga 2.84
Ga (0.2472, 0.2472, 0.2472)  3 Hf 2.84, 3 Lu 2.95
Ga (0.7528, 0.7528, 0.7528)  3 Hf 2.84, 3 Lu 2.95

Computed properties:
Energy above the most stable polymorph in this dataset   96 meV/atom
Density of states at the Fermi level   0.69 states/eV/atom
Energy of formation   -1.226 eV per formula unit
SG   R-3m, No. 166
Electronic total energy   -0.200 Ha/atom


Entry 20:
DFT (GGA-PBE) results for LuHfMgGa after structural relaxation.

Cell: 4.9151 4.9151 4.9151 Å, 60.00 60.00 60.00°
Last column: nearest neighbours and their distance in Å.
Atoms (fractional coordinates):
Lu (0.0000, 0.0000, 0.0000)  4 Mg 3.01, 4 Ga 3.01
Hf (0.5000, 0.5000, 0.5000)  4 Mg 3.01, 4 Ga 3.01
Mg (0.7500, 0.7500, 0.7500)  4 Hf 3.01, 4 Lu 3.01
Ga (0.2500, 0.2500, 0.2500)  4 Hf 3.01, 4 Lu 3.01

Computed properties:
Density of states at the Fermi level   0.82 states/eV/atom
Energy of formation   -0.574 eV per formula unit
SG   F-43m, No. 216
Electronic total energy   -0.181 Ha/atom